Entry 1:
6
Lattice="4.9031 0.0000 0.0000 2.4516 4.2462 0.0000 2.4516 1.4154 4.0034" Properties=species:S:1:pos:R:3 comment="NpFe4Ru GGA-PBE optimized geometry" dft_energy_ev_per_cell=-55.4 delta_e_f_ev_per_atom=0.12 mass_density_g_cm3=11.19 pbc="T T T"
Ru 0.0000 0.0000 0.0000
Fe 3.6691 3.5433 2.5055
Fe 4.9031 2.8308 0.4903
Fe 4.9031 1.4058 2.5055
Fe 6.1372 3.5433 2.5055
Np 2.4516 1.4154 1.0008


Entry 2:
6
Lattice="3.4849 0.0000 0.0000 1.7424 3.0180 0.0000 1.7424 1.0060 9.5155" Properties=species:S:1:pos:R:3 comment="NpFeRu GGA-PBE optimized geometry" dft_energy_ev_per_cell=-59.3 relative_energy_mev_per_atom=188.9 delta_e_f_ev_per_atom=0.35 mass_density_g_cm3=13.07 pbc="T T T"
Np 3.4849 2.0120 2.6005
Np 3.4849 2.0120 6.9151
Fe 5.2273 3.0180 4.1977
Fe 1.7424 1.0060 5.3178
Ru 1.7424 1.0060 0.9509
Ru 5.2273 3.0180 8.5646


Entry 3:
4
Lattice="-3.9632 -2.2420 0.6902 0.0194 -4.5548 0.6808 -0.9835 -1.7105 4.1613" Properties=species:S:1:pos:R:3 comment="NpScFeRu GGA-PBE optimized geometry" dft_energy_ev_per_cell=-37.5 delta_e_f_ev_per_atom=-0.12 mass_density_g_cm3=10.55 pbc="T T T"
Sc 0.0000 0.0000 0.0000
Ru -1.2318 -2.1268 1.3831
Np -2.4636 -4.2536 2.7661
Fe -3.6954 -6.3804 4.1492


Entry 4:
4
Lattice="-2.1100 -0.9833 3.3294 -1.3527 -3.7980 0.4996 5.0059 -3.3422 4.6638" Properties=species:S:1:pos:R:3 comment="NpFeS2 GGA-PBE optimized geometry" formation_energy_uncorrected_mev_per_atom=-451 dft_energy_ev_per_cell=-31.5 mass_density_g_cm3=5.73 pbc="T T T"
Np 0.7716 -4.0617 4.2464
S -1.5964 -5.3109 4.8553
S 3.1397 -2.8125 3.6376
Fe 0.0000 0.0000 0.0000